# 1
TbNd6Sm3 after structural relaxation, computed with PBE. Values from VASP.

Calculated values
Energy relative to the lowest polymorph listed for this composition   0.000 eV per atom
Space-group type   Cmc2_1

Structure (Quantum ESPRESSO input):
```
&SYSTEM
  ibrav = 0, nat = 20, ntyp = 3
/
ATOMIC_SPECIES
Nd 144.24 Nd.upf
Sm 150.36 Sm.upf
Tb 158.93 Tb.upf
CELL_PARAMETERS angstrom
6.4906 0.0000 0.0000
0.0000 11.0150 -1.7271
0.0000 -4.1416 10.3518
ATOMIC_POSITIONS angstrom
Nd 0.3624 5.2253 5.2818
Nd 3.6077 3.9826 6.2722
Nd 2.4000 1.8836 8.8436
Nd 3.6077 1.6481 3.3428
Nd 5.6029 -3.6160 9.9329
Nd 5.6453 8.2003 3.8095
Nd 5.6453 4.9898 -0.2190
Nd 0.9769 6.7901 1.6398
Nd 2.4000 -1.3269 4.8151
Nd 0.3624 2.8908 2.3525
Nd 4.2223 0.0833 6.9848
Nd 2.3576 10.4893 -1.3083
Sm 3.7898 5.1958 2.9104
Sm 6.2439 -0.5771 2.9125
Sm 6.2439 3.9055 8.5373
Sm 0.5444 1.6775 5.7143
Sm 2.9986 7.4505 5.7121
Sm 2.9986 2.9679 0.0874
Tb 0.7305 -1.2280 8.0298
Tb 3.9759 8.1014 0.5948
```

***

# 2
Tb4NdSm6 after structural relaxation, computed with PBE. Values from VASP.

Calculated values
Energy relative to the lowest polymorph listed for this composition   0.079 eV per atom
Space-group type   I-42m

Structure (Quantum ESPRESSO input):
```
&SYSTEM
  ibrav = 0, nat = 11, ntyp = 3
/
ATOMIC_SPECIES
Tb 158.93 Tb.upf
Sm 150.36 Sm.upf
Nd 144.24 Nd.upf
CELL_PARAMETERS angstrom
7.6202 0.0000 0.0000
0.0000 7.6202 0.0000
-3.8101 -3.8101 6.7061
ATOMIC_POSITIONS angstrom
Tb 6.3584 6.3584 1.0589
Tb 1.2618 1.2618 1.0589
Tb -2.5483 2.5483 5.6472
Tb 2.5483 -2.5483 5.6472
Sm -1.7773 -1.7773 4.1925
Sm 1.7773 1.7773 4.1925
Sm 2.0328 5.5874 2.5136
Sm 5.5874 2.0328 2.5136
Sm 0.0000 3.8101 0.0000
Sm 3.8101 0.0000 0.0000
Nd 3.8101 3.8101 0.0000
```

***

# 3
Tb5Nd2Sm6 after structural relaxation, computed with PBE. Values from VASP.

Calculated values
Electronic total energy   -4.60 eV per atom
Space-group type   Pbam

Structure (Quantum ESPRESSO input):
```
&SYSTEM
  ibrav = 0, nat = 26, ntyp = 3
/
ATOMIC_SPECIES
Nd 144.24 Nd.upf
Sm 150.36 Sm.upf
Tb 158.93 Tb.upf
CELL_PARAMETERS angstrom
3.6339 0.0000 0.0000
0.0000 11.8131 0.0000
0.0000 0.0000 20.5268
ATOMIC_POSITIONS angstrom
Nd 0.0000 3.9054 5.8430
Nd 0.0000 2.0011 16.1064
Nd 0.0000 7.9077 14.6838
Nd 0.0000 9.8119 4.4204
Sm 0.0000 0.7074 1.5899
Sm 0.0000 6.6139 8.6735
Sm 1.8170 9.7117 7.6225
Sm 0.0000 10.8809 13.0241
Sm 0.0000 0.9322 7.5027
Sm 0.0000 6.8387 2.7607
Sm 0.0000 4.9743 17.7661
Sm 1.8170 8.0079 17.8859
Sm 1.8170 3.8052 2.6409
Sm 1.8170 2.1014 12.9043
Sm 0.0000 11.1057 18.9369
Sm 0.0000 5.1991 11.8533
Tb 1.8170 4.8352 14.8291
Tb 1.8170 9.4598 1.1164
Tb 1.8170 6.9779 5.6977
Tb 1.8170 3.5533 9.1470
Tb 1.8170 8.2598 11.3798
Tb 1.8170 1.0713 4.5657
Tb 1.8170 0.0000 10.2634
Tb 1.8170 2.3533 19.4104
Tb 1.8170 10.7417 15.9610
Tb 1.8170 5.9065 0.0000
```

***

# 4
Tb2Nd4Sm after structural relaxation, computed with PBE. Values from VASP.

Calculated values
Energy relative to the lowest polymorph listed for this composition   0.000 eV per atom
Space-group type   Cc

Structure (Quantum ESPRESSO input):
```
&SYSTEM
  ibrav = 0, nat = 14, ntyp = 3
/
ATOMIC_SPECIES
Nd 144.24 Nd.upf
Tb 158.93 Tb.upf
Sm 150.36 Sm.upf
CELL_PARAMETERS angstrom
-7.6576 9.4333 3.4995
4.6515 -11.6114 1.8461
5.9169 3.4017 0.7511
ATOMIC_POSITIONS angstrom
Nd 7.6064 -4.3992 2.7923
Nd 3.9413 0.7074 0.8365
Nd 4.1616 -5.3617 2.2327
Nd -0.3472 1.2807 0.6396
Nd -0.7428 -1.2050 3.1493
Nd 0.5094 7.6413 3.4963
Nd 1.7608 1.2736 3.5859
Nd -2.8377 6.6981 3.4222
Tb 6.7472 -7.8663 2.4859
Tb -6.2913 7.6667 3.4643
Tb -0.6984 3.8720 3.0864
Tb 6.1848 -1.1373 2.9348
Sm 2.7295 4.8388 3.8846
Sm 2.8490 -2.1244 3.0957
```

***

# 5
Tb8Nd4Sm after structural relaxation, computed with PBE. Values from VASP.

Calculated values
Electronic total energy   -4.17 eV per atom
Space-group type   R-3m

Structure (Quantum ESPRESSO input):
```
&SYSTEM
  ibrav = 0, nat = 13, ntyp = 3
/
ATOMIC_SPECIES
Nd 144.24 Nd.upf
Tb 158.93 Tb.upf
Sm 150.36 Sm.upf
CELL_PARAMETERS angstrom
-10.8857 -1.2233 -1.8015
6.6582 -8.8831 0.0040
4.3587 3.2696 5.6470
ATOMIC_POSITIONS angstrom
Nd 0.0000 0.0000 0.0000
Nd 3.3291 -4.4415 0.0020
Nd -5.4429 -0.6116 -0.9007
Nd -2.1138 -5.0532 -0.8987
Tb -8.2484 -2.5670 -0.4492
Tb 0.6185 -6.4730 0.6582
Tb -2.5744 -1.9294 0.4898
Tb -4.7779 -7.1971 -0.4471
Tb 8.3796 -4.2698 4.2988
Tb 4.9091 0.3604 4.2967
Tb -0.4873 -0.3638 3.1914
Tb 2.7056 -4.9074 3.3598
Sm 5.5085 -2.8067 2.8255
```

***

# 6
Tb12Nd3Sm after structural relaxation, computed with PBE. Values from VASP.

Calculated values
Electronic total energy   -4.64 eV per atom
Space-group type   P4/mmm

Structure (Quantum ESPRESSO input):
```
&SYSTEM
  ibrav = 0, nat = 16, ntyp = 3
/
ATOMIC_SPECIES
Tb 158.93 Tb.upf
Nd 144.24 Nd.upf
Sm 150.36 Sm.upf
CELL_PARAMETERS angstrom
-4.8492 -1.1382 -0.9566
1.4744 -4.1014 -2.5942
-0.7654 -11.0290 17.0019
ATOMIC_POSITIONS angstrom
Tb -1.6874 -2.6198 -1.7754
Tb 0.4504 -6.1843 5.0752
Tb 0.0671 -11.7078 13.5899
Tb -2.0701 -8.1343 6.7256
Tb -2.2617 -10.8965 10.9838
Tb 0.6420 -3.4226 0.8179
Tb 0.2587 -8.9461 9.3326
Tb -3.0947 -10.2262 14.4087
Tb -2.9031 -7.4645 10.1514
Tb -2.5198 -1.9410 1.6366
Tb -2.7114 -4.7027 5.8940
Tb -1.8784 -5.3720 2.4674
Nd -0.5742 -8.2750 12.7564
Nd -0.1911 -2.7540 4.2455
Nd -0.3827 -5.5145 8.5010
Sm 0.0000 0.0000 0.0000
```

***

# 7
Tb3Nd6Sm after structural relaxation, computed with PBE. Values from VASP.

Calculated values
Energy relative to the lowest polymorph listed for this composition   0.000 eV per atom
Space-group type   Cmc2_1

Structure (Quantum ESPRESSO input):
```
&SYSTEM
  ibrav = 0, nat = 20, ntyp = 3
/
ATOMIC_SPECIES
Sm 150.36 Sm.upf
Nd 144.24 Nd.upf
Tb 158.93 Tb.upf
CELL_PARAMETERS angstrom
6.4950 0.0000 0.0000
0.0000 10.2861 -5.8448
0.0000 -2.2817 11.6086
ATOMIC_POSITIONS angstrom
Sm 3.3323 8.3167 -3.1098
Sm 0.0848 -0.3123 8.8736
Nd 2.1122 -0.1381 5.6926
Nd 0.4736 3.3201 0.8005
Nd 3.7211 4.6842 4.9632
Nd 3.7211 1.8120 2.8950
Nd 5.2291 -2.0966 11.3515
Nd 2.1122 2.6493 7.6997
Nd 1.9817 10.1010 -5.5877
Nd 1.9628 6.5131 -0.6051
Nd 0.4736 6.1924 2.8688
Nd 5.3597 5.3551 -1.9360
Nd 5.2102 1.4913 6.3689
Nd 5.3597 8.1424 0.0711
Tb 3.1701 8.2544 2.5871
Tb 3.1701 2.9334 -1.2444
Tb 6.4175 5.0709 7.0081
Tb 6.4175 -0.2500 3.1766
Tb 3.8489 5.0101 1.4821
Tb 0.6014 2.9942 4.2817
```

***

# 8
TbNd2Sm7 after structural relaxation, computed with PBE. Values from VASP.

Calculated values
Energy relative to the lowest polymorph listed for this composition   0.000 eV per atom
Space-group type   Cmmm

Structure (Quantum ESPRESSO input):
```
&SYSTEM
  ibrav = 0, nat = 10, ntyp = 3
/
ATOMIC_SPECIES
Sm 150.36 Sm.upf
Nd 144.24 Nd.upf
Tb 158.93 Tb.upf
CELL_PARAMETERS angstrom
-1.2230 0.1275 3.2728
-7.1966 -13.0213 -2.1821
11.7390 8.4764 4.0565
ATOMIC_POSITIONS angstrom
Sm 1.6597 -2.2087 2.5736
Sm 8.1854 4.4419 2.8857
Sm 2.3614 1.0598 2.7086
Sm -3.6430 -8.9868 -1.0113
Sm -1.3567 -3.1613 1.4836
Sm 4.6760 -1.2561 3.6637
Sm 0.9579 -5.4772 2.4387
Nd 5.5382 2.1947 3.8515
Nd -2.2189 -6.6121 1.2958
Tb 0.0000 0.0000 0.0000
```

***

# 9
TbNd2Sm7 after structural relaxation, computed with PBE. Values from VASP.

Calculated values
Energy relative to the lowest polymorph listed for this composition   0.155 eV per atom
Space-group type   Immm

Structure (Quantum ESPRESSO input):
```
&SYSTEM
  ibrav = 0, nat = 10, ntyp = 3
/
ATOMIC_SPECIES
Nd 144.24 Nd.upf
Sm 150.36 Sm.upf
Tb 158.93 Tb.upf
CELL_PARAMETERS angstrom
3.5824 -0.5276 -0.4301
-0.6889 10.1316 -2.6678
-0.6889 -0.5698 10.4613
ATOMIC_POSITIONS angstrom
Nd 1.1023 0.9840 8.0163
Nd 1.1023 8.0502 -0.6528
Sm 2.8935 6.0488 1.2637
Sm -0.6889 2.9854 6.0997
Sm 0.5528 0.6555 3.8112
Sm 0.5529 3.8651 -0.1266
Sm 1.1023 4.5171 3.6817
Sm 1.6518 8.3786 3.5523
Sm 1.6517 5.1691 7.4900
Tb 0.0000 0.0000 0.0000
```

***

# 10
Tb2Nd5Sm12 after structural relaxation, computed with PBE. Values from VASP.

Calculated values
Energy relative to the lowest polymorph listed for this composition   0.071 eV per atom
Space-group type   C2/m

Structure (Quantum ESPRESSO input):
```
&SYSTEM
  ibrav = 0, nat = 19, ntyp = 3
/
ATOMIC_SPECIES
Sm 150.36 Sm.upf
Nd 144.24 Nd.upf
Tb 158.93 Tb.upf
CELL_PARAMETERS angstrom
-0.9176 6.1076 3.6628
5.8040 -6.3882 5.0676
10.1266 2.4111 -1.4835
ATOMIC_POSITIONS angstrom
Sm 2.3537 3.8535 4.7523
Sm 2.8165 0.7732 2.9050
Sm 6.4173 4.6811 0.8406
Sm 12.6592 -1.7230 2.4947
Sm 8.5956 -2.5506 6.4064
Sm 7.9253 1.6604 -0.7833
Sm 12.1964 1.3573 4.3420
Sm 9.0747 -2.4918 2.9332
Sm 5.9382 4.6224 4.3138
Sm 6.3939 1.5893 2.4949
Sm 8.6190 0.5412 4.7521
Sm 7.0876 0.4701 8.0302
Nd 5.5832 -1.6540 4.1567
Nd 9.4297 3.7845 3.0903
Nd 5.0633 1.2055 -0.7417
Nd 10.2543 0.7261 1.3582
Nd 4.7587 1.4044 5.8888
Tb -0.6627 4.4112 2.6454
Tb -0.2549 1.6965 1.0174
```

***

# 11
Tb4Nd8Sm3 after structural relaxation, computed with PBE. Values from VASP.

Calculated values
Energy relative to the lowest polymorph listed for this composition   0.000 eV per atom
Space-group type   R-3m

Structure (Quantum ESPRESSO input):
```
&SYSTEM
  ibrav = 0, nat = 15, ntyp = 3
/
ATOMIC_SPECIES
Nd 144.24 Nd.upf
Tb 158.93 Tb.upf
Sm 150.36 Sm.upf
CELL_PARAMETERS angstrom
6.2213 0.0000 3.3553
2.2058 5.8171 3.3553
-2.6151 -1.8051 12.2942
ATOMIC_POSITIONS angstrom
Nd 1.3955 0.9633 4.8577
Nd 0.1345 0.0929 10.9048
Nd 4.4165 3.0486 14.1470
Nd 1.2415 3.0121 12.5886
Nd 5.6775 3.9190 8.1000
Nd 3.2567 0.0929 12.5886
Nd 4.5705 0.9998 6.4161
Nd 2.5554 3.9191 6.4161
Tb 2.9060 2.0060 9.5024
Tb 0.2292 0.1582 14.4656
Tb 0.0000 0.0000 0.0000
Tb 5.5828 3.8537 4.5391
Sm 1.8031 -0.9026 7.8247
Sm -0.2046 2.0060 7.8247
Sm -1.3075 -0.9026 6.1471
```

***

# 12
Tb3Nd3Sm5 after structural relaxation, computed with PBE. Values from VASP.

Calculated values
Energy relative to the lowest polymorph listed for this composition   0.015 eV per atom
Space-group type   P-62m

Structure (Quantum ESPRESSO input):
```
&SYSTEM
  ibrav = 0, nat = 11, ntyp = 3
/
ATOMIC_SPECIES
Sm 150.36 Sm.upf
Tb 158.93 Tb.upf
Nd 144.24 Nd.upf
CELL_PARAMETERS angstrom
5.4916 0.0000 0.0000
0.0000 9.7556 0.0000
0.0000 -4.8778 8.4486
ATOMIC_POSITIONS angstrom
Sm 2.7458 1.3040 2.2586
Sm 2.7458 0.0000 5.6324
Sm 2.7458 4.8778 2.8162
Sm 2.7458 7.1476 0.0000
Sm 2.7458 -3.5738 6.1900
Tb 0.0000 2.2478 3.8933
Tb 0.0000 -2.6300 4.5553
Tb 0.0000 5.2600 0.0000
Nd 2.7458 -1.7622 3.0523
Nd 2.7458 3.5245 0.0000
Nd 2.7458 3.1156 5.3963
```